## K2NaSnTe4 (PBE)

Data for crystalline K2NaSnTe4 at its relaxed geometry.

```
8
Lattice="-2.6349 7.4304 -1.5490 -2.9151 4.3516 4.9958 4.1416 5.9156 0.4943" Properties=species:S:1:pos:R:3 pbc="T T T"
K 0.6133 5.1336 2.7451
K -0.7042 8.8488 1.9706
Na 0.0000 0.0000 0.0000
Sn -1.3175 3.7152 -0.7745
Te -1.3472 2.3700 1.6863
Te 0.2474 10.3983 -1.0782
Te 0.1386 6.1082 -0.6352
Te -3.0821 6.2515 2.4194
```

Output
The uncorrected formation energy is -0.6319 eV/atom. The calculation puts the volume at 36.410 A^3/atom. Its density of states at the Fermi level is 1.36 states/eV per atom. As for the crystal system: tetragonal.

=====

## Sc3Zn4Ag2 (PBE)

Data for crystalline Sc3Zn4Ag2 at its relaxed geometry.

```
9
Lattice="4.5014 0.0000 0.0000 -2.2507 4.5875 -1.9770 0.0000 -0.9993 8.3366" Properties=species:S:1:pos:R:3 pbc="T T T"
Sc 2.2507 0.8635 4.9025
Sc 0.0000 0.0000 0.0000
Sc 0.0000 2.7247 1.4571
Zn 2.2507 2.0043 -0.4563
Zn 0.0000 1.5839 6.8159
Zn 2.2507 3.4991 3.3077
Zn 0.0000 0.0891 3.0519
Ag 2.2507 0.7461 1.8643
Ag 0.0000 2.8421 4.4952
```

Output
The calculation puts the formation energy at -2.68 eV per formula unit. The calculation puts the volume at 18.140 A^3/atom. Its density of states at the Fermi level is 0.67 states/eV per atom. As for the crystal system: monoclinic.

=====

## Rb2Si2SnO6 (PBE)

Data for crystalline Rb2Si2SnO6 at its relaxed geometry.

```
11
Lattice="6.0532 0.0000 0.0000 3.0266 5.2423 0.0000 3.0266 1.7474 6.4661" Properties=species:S:1:pos:R:3 pbc="T T T"
Rb 9.0799 5.2423 3.9898
Rb 3.0266 1.7474 2.4764
Si 6.0532 3.4948 4.8805
Si 6.0532 3.4948 1.5856
Sn 0.0000 0.0000 0.0000
O 7.4323 4.2911 1.5816
O 4.6741 4.2911 1.5816
O 6.0532 1.9024 1.5816
O 6.0532 5.0873 4.8846
O 7.4323 2.6986 4.8846
O 4.6741 2.6986 4.8846
```

Output
The uncorrected formation energy is -1.9689 eV/atom. The calculation puts the volume at 18.653 A^3/atom. Its density of states at the Fermi level is 0.00 states/eV per atom. As for the crystal system: trigonal.